! HgI2 | Alexandria | GGA-PBE | relaxed; values from VASP
! Formation energy (no corrections): -0.294 eV/atom
! Magnetic moment: 0.0 μB per formula unit
! Calculated density: 5.42 g/cm³
&SYSTEM
  ibrav = 0, nat = 24, ntyp = 2
/
ATOMIC_SPECIES
Hg 200.59 Hg.upf
I 126.90 I.upf
CELL_PARAMETERS angstrom
-4.556 4.556 13.415
4.556 -4.556 13.415
4.556 4.556 -13.415
ATOMIC_POSITIONS crystal
Hg 0.187 0.684 0.503
Hg 0.316 0.319 0.503
Hg 0.316 0.813 0.997
Hg 0.319 0.316 0.003
Hg 0.681 0.684 0.997
Hg 0.684 0.187 0.003
Hg 0.684 0.681 0.497
Hg 0.813 0.316 0.497
I 0.001 0.251 0.750
I 0.114 0.364 0.228
I 0.114 0.886 0.750
I 0.251 0.001 0.250
I 0.251 0.501 0.750
I 0.364 0.114 0.728
I 0.364 0.636 0.250
I 0.499 0.749 0.750
I 0.501 0.251 0.250
I 0.636 0.364 0.750
I 0.636 0.886 0.272
I 0.749 0.499 0.250
I 0.749 0.999 0.750
I 0.886 0.114 0.250
I 0.886 0.636 0.772
I 0.999 0.749 0.250

***

! K2NpBiSe4 | Alexandria | GGA-PBE | relaxed; values from VASP
! Formation energy (no corrections): -1.022 eV/atom
! Magnetic moment: 4.0 μB per formula unit
! Calculated density: 5.61 g/cm³
&SYSTEM
  ibrav = 0, nat = 8, ntyp = 4
/
ATOMIC_SPECIES
K 39.10 K.upf
Np 237.00 Np.upf
Bi 208.98 Bi.upf
Se 78.96 Se.upf
CELL_PARAMETERS angstrom
7.490 0.000 0.000
0.000 4.324 0.000
-2.501 0.000 7.677
ATOMIC_POSITIONS crystal
K 0.000 0.000 0.000
K 0.500 0.500 0.000
Np 0.000 0.500 0.500
Bi 0.500 0.000 0.500
Se 0.230 0.000 0.707
Se 0.259 0.500 0.289
Se 0.741 0.500 0.711
Se 0.770 0.000 0.293

***

! CeErNiIr | Alexandria | GGA-PBE | relaxed; values from VASP
! Energy relative to the lowest polymorph listed for this composition: 0 meV/atom
! Magnetic moment: 0.0 μB per formula unit
! ΔH_f (0 K): -0.6391 eV per atom
! Calculated density: 11.21 g/cm³
&SYSTEM
  ibrav = 0, nat = 4, ntyp = 4
/
ATOMIC_SPECIES
Ce 140.12 Ce.upf
Er 167.26 Er.upf
Ni 58.69 Ni.upf
Ir 192.22 Ir.upf
CELL_PARAMETERS angstrom
4.436 0.000 0.000
0.000 1.845 5.053
0.000 -1.845 5.053
ATOMIC_POSITIONS crystal
Ce 0.000 0.000 0.000
Er 0.500 0.278 0.278
Ni 0.500 0.558 0.558
Ir 0.000 0.723 0.723